Below is an optimized crystal structure of Pm6Si2I, with properties calculated at the PBE level.

space-group type: No. 189
ΔE_f (raw): -10.3 kcal/mol of atoms
total energy: -44.90 eV for the cell shown
magnetization: 0.00 μB/cell

Cell: 8.1876 8.1876 4.4039 Å, 90.00 90.00 120.00°
With the nearest neighbours (Å) after each atom.
Fractional positions:
Pm 0.0000 0.2787 0.0000  2 Si 2.98, 2 I 3.17
Pm 0.0000 0.5864 0.5000  4 Si 3.31, 2 Pm 3.35, 1 I 3.39
Pm 0.2787 0.0000 0.0000  2 Si 2.98, 2 I 3.17
Pm 0.4136 0.4136 0.5000  4 Si 3.31, 2 Pm 3.35, 1 I 3.39
Pm 0.5864 0.0000 0.5000  4 Si 3.31, 2 Pm 3.35, 1 I 3.39
Pm 0.7213 0.7213 0.0000  2 Si 2.98, 2 I 3.17
Si 0.3333 0.6667 0.0000  9 Pm 2.98-3.31
Si 0.6667 0.3333 0.0000  9 Pm 2.98-3.31
I 0.0000 0.0000 0.5000  9 Pm 3.17-3.39